1.
Sr2AgO, relaxed, DFT PBE; crystal system = orthorhombic
1.0
3.5010 4.2476 8.2075
-5.9837 -1.3284 -7.7520
-3.0243 -3.0170 2.8515
Sr O Ag
4 2 2
direct
0.2101 0.7899 0.2500
0.5943 0.4057 0.7500
0.7899 0.2101 0.7500
0.4057 0.5943 0.2500
0.7919 0.2081 0.2500
0.2081 0.7919 0.7500
0.0398 0.9602 0.2500
0.9602 0.0398 0.7500

***

2.
LiGdDy, relaxed, DFT PBE; crystal system = cubic
1.0
3.6456 -3.3902 -0.8404
0.1496 -4.2666 2.6951
-1.1108 -4.4105 -2.1917
Gd Dy Li
1 1 1
direct
0.7500 0.7500 0.7500
0.2500 0.2500 0.2500
0.0000 0.0000 0.0000

***

3.
ScZn2Hg, relaxed, DFT PBE; crystal system = orthorhombic; ΔH_f (0 K) = -271 meV/atom
1.0
-0.5178 5.4187 2.7543
0.3525 -5.1028 3.3248
4.5545 0.3824 0.1040
Zn Sc Hg
4 2 2
direct
0.3281 0.1742 0.7500
0.6719 0.8258 0.2500
0.1742 0.3281 0.2500
0.8258 0.6719 0.7500
0.6634 0.3366 0.2500
0.3366 0.6634 0.7500
0.8370 0.1630 0.7500
0.1630 0.8370 0.2500

***

4.
Zr3Cd2B2, relaxed, DFT PBE; crystal system = trigonal
1.0
7.2360 8.1388 -1.6776
6.3224 8.8204 1.9083
8.9827 6.2873 1.0934
Zr B Cd
3 2 2
direct
0.3664 0.3664 0.3664
0.8441 0.8441 0.8441
0.6296 0.6296 0.6296
0.9992 0.9992 0.9992
0.5400 0.5400 0.5400
0.2366 0.2366 0.2366
0.7590 0.7590 0.7590

***

| no. | electronic total energy (eV/atom) |
| --- | --- |
| 1 | -4.1775 |
| 2 | -3.2030 |
| 3 | -2.5603 |
| 4 | -5.7308 |